Entry 1:
VASP calculation (GGA-PBE) on a relaxed PmSm3DyHo crystal.

Geometry as extended XYZ:
```
12
Lattice="-4.4052 -2.4605 -2.7828 8.1272 -0.1949 -6.7271 1.8678 -6.1243 2.4583" Properties=species:S:1:pos:R:3 pbc="T T T"
Pm 6.0368 -7.0061 -3.3617
Pm -0.4471 -1.7736 -3.6899
Sm 2.3057 -3.8057 -6.2510
Sm 2.5260 -6.6417 -4.0921
Sm 6.1781 -2.9377 -7.1826
Sm 3.0637 -2.1381 -2.9594
Sm -0.5884 -5.8421 0.1311
Sm 3.2840 -4.9740 -0.8006
Dy 1.1724 -1.7686 -0.2922
Dy 4.4173 -7.0111 -6.7594
Ho 0.4107 -4.5103 -2.6282
Ho 5.1790 -4.2694 -4.4234
```

## Properties
**Electronic total energy**: -53.84 eV/cell
**Space-group type**: No. 12
**DOS(E_F)**: 8.82 states/eV/f.u.
**Magnetization**: 0.0 Bohr magnetons per cell

=====

Entry 2:
VASP calculation (GGA-PBE) on a relaxed Tl2AgIr crystal.

Geometry as extended XYZ:
```
4
Lattice="-2.9102 4.9355 0.6393 -3.1953 0.0747 4.7981 5.2604 -0.2158 -2.3493" Properties=species:S:1:pos:R:3 pbc="T T T"
Tl -0.0856 0.0703 0.0763
Tl -2.9671 2.4349 2.6424
Ir -0.4939 1.1820 2.5837
Ag -0.3513 3.6124 0.5043
```

## Properties
**Electronic total energy**: -14.40 eV/cell
**Space-group type**: No. 71
**DOS(E_F)**: 2.26 states/eV/f.u.
**Magnetization**: 0.0 Bohr magnetons per cell

=====

Entry 3:
VASP calculation (GGA-PBE) on a relaxed CuPbS3 crystal.

Geometry as extended XYZ:
```
5
Lattice="-4.7375 -1.9497 0.7289 0.2639 -2.3601 -4.5975 2.0647 -4.1719 2.2602" Properties=species:S:1:pos:R:3 pbc="T T T"
Pb 0.0000 0.0000 0.0000
S 0.1320 -1.1800 -2.2987
S 1.0324 -2.0860 1.1301
S -2.3687 -0.9749 0.3645
Cu -1.2044 -4.2409 -0.8042
```

## Properties
**Formation energy without anion corrections**: 0.9628 eV per atom
**Space-group type**: No. 221
**DOS(E_F)**: 5.52 states/eV/f.u.
**Magnetization**: 0.0 Bohr magnetons per cell

=====

Entry 4:
VASP calculation (GGA-PBE) on a relaxed RbLi2Sc crystal.

Geometry as extended XYZ:
```
8
Lattice="8.6414 0.0000 0.0000 0.0000 8.6414 0.0000 4.3207 4.3207 3.5830" Properties=species:S:1:pos:R:3 pbc="T T T"
Sc 4.3207 4.3207 0.0000
Sc 4.3207 8.6414 1.7915
Rb 0.0000 0.0000 0.0000
Rb 8.6414 4.3207 1.7915
Li 6.2990 2.1604 0.8958
Li 2.3424 6.4811 0.8958
Li 6.4811 6.6631 2.6873
Li 10.8018 10.6197 2.6873
```

## Properties
**Electronic total energy**: -16.98 eV/cell
**Space-group type**: No. 122
**DOS(E_F)**: 5.19 states/eV/f.u.
**Magnetization**: 1.9 Bohr magnetons per cell

=====

Entry 5:
VASP calculation (GGA-PBE) on a relaxed BaVSn2C crystal.

Geometry as extended XYZ:
```
5
Lattice="-3.6243 -1.6895 -4.6169 1.0161 -4.2983 0.7752 -4.7175 -0.4196 3.8568" Properties=species:S:1:pos:R:3 pbc="T T T"
C 0.5081 -2.1491 0.3876
V -3.6628 -3.2037 0.0076
Ba 0.0000 0.0000 0.0000
Sn -2.3587 -0.2098 1.9284
Sn -1.8121 -0.8447 -2.3084
```

## Properties
**Electronic total energy**: -16.30 eV/cell
**Space-group type**: No. 123
**DOS(E_F)**: 9.16 states/eV/f.u.
**Magnetization**: 0.5 Bohr magnetons per cell

=====

Entry 6:
VASP calculation (GGA-PBE) on a relaxed LiTbCd17 crystal.

Geometry as extended XYZ:
```
19
Lattice="7.6397 0.1084 1.0226 0.9090 7.5862 1.0226 0.1204 0.1084 7.7069" Properties=species:S:1:pos:R:3 pbc="T T T"
Li 3.4038 3.0637 3.8290
Tb 5.7899 5.2114 6.5131
Cd 3.2990 7.6879 6.6615
Cd 5.6792 2.4745 8.7170
Cd 8.2988 5.3884 4.0568
Cd 3.0565 5.3884 8.7170
Cd 7.9915 2.4745 6.6615
Cd 6.2290 7.6879 4.0568
Cd 3.6195 6.1370 4.0716
Cd 3.2840 2.9559 6.9151
Cd 6.4827 2.9559 4.0716
Cd 5.1685 1.0836 5.8141
Cd 5.5843 5.0263 2.2897
Cd 1.6197 5.0263 5.8141
Cd 0.5598 3.5941 0.6298
Cd 0.1998 0.1798 3.6818
Cd 3.6330 0.1798 0.6298
Cd 7.7193 6.9480 8.6836
Cd 0.7382 0.6644 0.8304
```

## Properties
**Electronic total energy**: -23.23 eV/cell
**Space-group type**: No. 160
**DOS(E_F)**: 7.14 states/eV/f.u.
**Magnetization**: 0.0 Bohr magnetons per cell